#i
Density functional theory data (PBE) for a relaxed structure of Nd6Hg3C.

a b c (Å): 6.3792 8.8617 10.8104
angles (deg): 101.09 90.70 108.35
Closest atoms and distances in Å follow each position.
Positions (direct):
Nd1 0.0036 0.3051 0.4901  2 C 2.60-2.72
Nd2 0.0947 0.4646 0.2099  1 C 2.54
Nd3 0.2057 0.3039 0.8851  4 Hg 3.18-3.43, 2 Nd 3.49-3.52
Nd4 0.2813 0.0412 0.1038  6 Hg 3.10-3.39
Nd5 0.4591 0.6124 0.6509  2 C 2.52-2.60
Nd6 0.4750 0.1657 0.6271  1 C 2.52
Nd7 0.5250 0.8343 0.3729  1 C 2.52
Nd8 0.5409 0.3876 0.3491  2 C 2.52-2.60
Nd9 0.7187 0.9588 0.8962  6 Hg 3.10-3.39
Nd10 0.7943 0.6961 0.1149  4 Hg 3.18-3.43, 2 Nd 3.49-3.52
Nd11 0.9053 0.5354 0.7901  1 C 2.54
Nd12 0.9964 0.6949 0.5099  2 C 2.60-2.72
Hg1 0.1141 0.9798 0.3638  6 Nd 3.10-3.43, 2 Hg 3.17-3.31
Hg2 0.2021 0.9096 0.8019  2 Hg 3.17-3.47, 7 Nd 3.22-3.43
Hg3 0.3232 0.6875 0.0076  6 Nd 3.18-3.31, 1 Hg 3.47
Hg4 0.6768 0.3125 0.9924  6 Nd 3.18-3.31, 1 Hg 3.47
Hg5 0.7979 0.0904 0.1981  2 Hg 3.17-3.47, 7 Nd 3.22-3.43
Hg6 0.8859 0.0202 0.6362  6 Nd 3.10-3.43, 2 Hg 3.17-3.31
C1 0.2992 0.5700 0.4277  6 Nd 2.52-2.72
C2 0.7008 0.4300 0.5723  6 Nd 2.52-2.72

#ii
Density functional theory data (PBE) for a relaxed structure of Nd6Hg3C.

a b c (Å): 6.7307 8.3950 11.9174
angles (deg): 90.00 119.07 90.00
Closest atoms and distances in Å follow each position.
Positions (direct):
Nd1 0.0779 0.0530 0.2255  1 C 2.52
Nd2 0.0779 0.4470 0.7255  1 C 2.52
Nd3 0.1826 0.7208 0.0651  1 C 2.58
Nd4 0.1826 0.7792 0.5651  1 C 2.58
Nd5 0.3763 0.1473 0.0538  1 C 2.60
Nd6 0.3763 0.3527 0.5538  1 C 2.60
Nd7 0.6237 0.6473 0.4462  1 C 2.60
Nd8 0.6237 0.8527 0.9462  1 C 2.60
Nd9 0.8174 0.2208 0.4349  1 C 2.58
Nd10 0.8174 0.2792 0.9349  1 C 2.58
Nd11 0.9221 0.5530 0.2745  1 C 2.52
Nd12 0.9221 0.9470 0.7745  1 C 2.52
Hg1 0.3158 0.1108 0.7378  6 Nd 3.16-3.35
Hg2 0.3158 0.3892 0.2378  6 Nd 3.16-3.35
Hg3 0.5000 0.0000 0.5000  6 Nd 3.15-3.22
Hg4 0.5000 0.5000 0.0000  6 Nd 3.15-3.22
Hg5 0.6842 0.6108 0.7622  6 Nd 3.16-3.35
Hg6 0.6842 0.8892 0.2622  6 Nd 3.16-3.35
C1 0.0000 0.0000 0.0000  6 Nd 2.52-2.60
C2 0.0000 0.5000 0.5000  6 Nd 2.52-2.60

Name the least stable of them. #i.